No. 1
Y3CuSi2Pt9 | GGA-PBE | optimized geometry

Computed properties:
Size of the total moment, μB/f.u.: 0.0
ΔE_f (raw), eV/atom: -0.810

Unit cell a=5.6541 b=5.6541 c=10.7495 alpha=90.00 beta=90.00 gamma=120.00
Space group P-3m1 (No. 164)
Symmetry-distinct sites (fractional):
Y 0.0000 0.0000 0.0000
Y 0.3333 0.6667 0.5787
Cu 0.0000 0.0000 0.5000
Si 0.3333 0.6667 0.1648
Pt 0.0000 0.5000 0.0000
Pt 0.1626 0.3252 0.3186


No. 2
ZnHgW2 | GGA-PBE | optimized geometry

Computed properties:
Size of the total moment, μB/f.u.: 0.0
E above lowest polymorph, meV per atom: 294
ΔE_f, eV/atom: 0.67

Unit cell a=4.079 b=4.079 c=7.998 alpha=90.00 beta=90.00 gamma=90.00
Space group I-4m2 (No. 119)
Symmetry-distinct sites (fractional):
Zn 0.000 0.000 0.000
Hg 0.000 0.500 0.750
W 0.000 0.000 0.500
W 0.000 0.500 0.250


No. 3
SmTm4Cd2 | GGA-PBE | optimized geometry

Computed properties:
Size of the total moment, μB/f.u.: 0.1
ΔE_f, eV/atom: 0.22

Unit cell a=5.0290 b=5.0290 c=30.8146 alpha=90.00 beta=90.00 gamma=120.00
Space group R-3m (No. 166, hexagonal axes)
Symmetry-distinct sites (fractional):
Sm 0.0000 0.0000 0.0000
Tm 0.0000 0.0000 0.2019
Tm 0.0000 0.0000 0.3955
Cd 0.0000 0.0000 0.1011


No. 4
InHgB | GGA-PBE | optimized geometry

Computed properties:
Size of the total moment, μB/f.u.: 0.0
ΔE_f, eV/atom: 0.91

Unit cell a=4.368 b=4.368 c=6.695 alpha=90.00 beta=90.00 gamma=90.00
Space group P4/nmm (No. 129, origin choice 2)
Symmetry-distinct sites (fractional):
In 0.250 0.250 0.158
Hg 0.250 0.250 0.605
B 0.250 0.750 0.000


No. 5
TaFeTe2 | GGA-PBE | optimized geometry

Computed properties:
Size of the total moment, μB/f.u.: 0.9
ΔE_f (raw), eV/atom: -0.253

Unit cell a=7.072 b=4.083 c=7.090 alpha=90.00 beta=90.97 gamma=90.00
Space group Cm (No. 8)
Symmetry-distinct sites (fractional):
Ta 0.000 0.000 0.000
Fe 0.336 0.000 0.130
Te 0.171 0.500 0.269
Te 0.329 0.000 0.766


No. 6
TiOsCl2 | GGA-PBE | optimized geometry

Computed properties:
Size of the total moment, μB/f.u.: 0.0
E above lowest polymorph, meV per atom: 0
ΔE_f (raw), eV/atom: -0.100

Unit cell a=3.0060 b=3.0060 c=24.0710 alpha=90.00 beta=90.00 gamma=120.00
Space group R-3m (No. 166, hexagonal axes)
Symmetry-distinct sites (fractional):
Ti 0.0000 0.0000 0.0000
Os 0.0000 0.0000 0.5000
Cl 0.0000 0.0000 0.4044


No. 7
PmTmSiNi | GGA-PBE | optimized geometry

Computed properties:
Size of the total moment, μB/f.u.: 0.0
ΔE_f (raw), eV/atom: -0.431

Unit cell a=6.967 b=6.967 c=6.967 alpha=90.00 beta=90.00 gamma=90.00
Space group F-43m (No. 216)
Symmetry-distinct sites (fractional):
Pm 0.000 0.000 0.000
Tm 0.000 0.000 0.500
Si 0.250 0.250 0.750
Ni 0.250 0.250 0.250


No. 8
Na2Hg2BiH2 | GGA-PBE | optimized geometry

Computed properties:
Energy, eV/atom: -2.01
Size of the total moment, μB/f.u.: 0.0

Unit cell a=4.816 b=4.882 c=12.128 alpha=90.00 beta=101.21 gamma=90.00
Space group C2/m (No. 12)
Symmetry-distinct sites (fractional):
Na 0.111 0.000 0.218
Hg 0.215 0.500 0.429
Bi 0.000 0.500 0.000
H 0.141 0.500 0.277


No. 9
TcPd2O4 | GGA-PBE | optimized geometry

Computed properties:
Size of the total moment, μB/f.u.: 0.0
ΔE_f (raw), eV/atom: -0.487

Unit cell a=3.786 b=3.786 c=14.571 alpha=90.00 beta=90.00 gamma=90.00
Space group I4/mmm (No. 139)
Symmetry-distinct sites (fractional):
Tc 0.000 0.000 0.000
Pd 0.000 0.000 0.263
O 0.000 0.000 0.128
O 0.000 0.500 0.000


No. 10
Pr5YEr8 | GGA-PBE | optimized geometry

Computed properties:
Size of the total moment, μB/f.u.: 0.0
ΔE_f, eV/atom: 0.24

Unit cell a=9.642 b=9.642 c=10.093 alpha=90.00 beta=90.00 gamma=90.00
Space group I-4 (No. 82)
Symmetry-distinct sites (fractional):
Pr 0.000 0.000 0.000
Pr 0.111 0.216 0.419
Y 0.000 0.500 0.750
Er 0.072 0.327 0.093
Er 0.088 0.174 0.752


No. 11
Zn6IrRh5 | GGA-PBE | optimized geometry

Computed properties:
Size of the total moment, μB/f.u.: 0.0
ΔE_f, eV/atom: -0.34

Unit cell a=4.276 b=12.829 c=6.053 alpha=90.00 beta=90.00 gamma=90.00
Space group Cmmm (No. 65)
Symmetry-distinct sites (fractional):
Zn 0.000 0.000 0.248
Zn 0.000 0.333 0.250
Ir 0.000 0.500 0.500
Rh 0.000 0.166 0.500
Rh 0.000 0.168 0.000
Rh 0.000 0.500 0.000


No. 12
Be2RhBr | GGA-PBE | optimized geometry

Computed properties:
Size of the total moment, μB/f.u.: 0.0
E above lowest polymorph, meV per atom: 537
ΔE_f (raw), eV/atom: 0.353

Unit cell a=4.174 b=4.174 c=3.025 alpha=90.00 beta=90.00 gamma=90.00
Space group P4/mmm (No. 123)
Symmetry-distinct sites (fractional):
Be 0.000 0.500 0.000
Rh 0.000 0.000 0.500
Br 0.500 0.500 0.500


Repeat the third record exactly.
SmTm4Cd2 | GGA-PBE | optimized geometry

Computed properties:
Size of the total moment, μB/f.u.: 0.1
ΔE_f, eV/atom: 0.22

Unit cell a=5.0290 b=5.0290 c=30.8146 alpha=90.00 beta=90.00 gamma=120.00
Space group R-3m (No. 166, hexagonal axes)
Symmetry-distinct sites (fractional):
Sm 0.0000 0.0000 0.0000
Tm 0.0000 0.0000 0.2019
Tm 0.0000 0.0000 0.3955
Cd 0.0000 0.0000 0.1011